A plane-wave DFT calculation with GGA-PBE was carried out for CeDy4Ga5 after structural relaxation.

Cell: 3.5480 3.5480 18.2648 Å, 90.00 90.00 90.00°
Each line ends with the local moment (μB).
Sites, in units of the cell vectors:
Dy (0.0000, 0.0000, 0.5985)  0.00
Ga (0.5000, 0.5000, 0.1068)  0.00
Ce (0.0000, 0.0000, 0.0000)  0.55
Dy (0.0000, 0.0000, 0.7952)  -0.01
Ga (0.5000, 0.5000, 0.5000)  0.00
Ga (0.5000, 0.5000, 0.6968)  0.00
Ga (0.5000, 0.5000, 0.3032)  0.00
Dy (0.0000, 0.0000, 0.2048)  -0.01
Ga (0.5000, 0.5000, 0.8932)  0.00
Dy (0.0000, 0.0000, 0.4015)  0.00

Properties
uncorrected energy	-45.1	eV for the cell shown
DOS(E_F)	8.51	states/eV per cell
crystal system	tetragonal
formation enthalpy at 0 K	-561	meV/atom

A plane-wave DFT calculation with GGA-PBE was carried out for TlMo2Ru after structural relaxation.

Cell: 4.9935 4.9935 5.0208 Å, 78.97 78.97 33.85°
Sites, in units of the cell vectors:
Ru (0.5146, 0.5146, 0.4639)
Mo (0.2429, 0.2429, 0.2542)
Tl (0.7540, 0.7540, 0.7462)
Mo (0.9886, 0.9886, 0.0357)

Properties
uncorrected energy	-31.3	eV for the cell shown
DOS(E_F)	2.86	states/eV per cell
crystal system	monoclinic
formation enthalpy at 0 K	503	meV/atom